[1]
Material: Y2OsRu
Method: DFT, PBE
State: relaxed

Properties
SG: P4mm, No. 99
DFT formation energy (eV per atom): 0.11
Magnetic moment (Bohr magnetons per cell): 0.0
DOS at the Fermi energy (states/eV/atom): 0.715

POSCAR file:
```
Y2OsRu
1.0
3.1271 0.0000 0.0000
0.0000 3.1271 0.0000
0.0000 0.0000 8.8196
Y Ru Os
2 1 1
direct
0.0000 0.0000 0.9406 Y
0.5000 0.5000 0.3107 Y
0.5000 0.5000 0.7057 Ru
0.0000 0.0000 0.5430 Os
```

=====

[2]
Material: Y2OsRu
Method: DFT, PBE
State: relaxed

Properties
SG: P4/mmm, No. 123
DFT formation energy (eV per atom): -0.12
Magnetic moment (Bohr magnetons per cell): 0.0
DOS at the Fermi energy (states/eV/atom): 1.438

POSCAR file:
```
Y2OsRu
1.0
3.4225 0.0000 0.0000
0.0000 4.8264 0.0000
0.0000 0.0000 4.8264
Y Ru Os
2 1 1
direct
0.0000 0.5000 0.0000 Y
0.0000 0.0000 0.5000 Y
0.5000 0.0000 0.0000 Ru
0.5000 0.5000 0.5000 Os
```

=====

[3]
Material: Y2OsRu
Method: DFT, PBE
State: relaxed

Properties
SG: R-3m, No. 166
DFT formation energy (eV per atom): 0.23
Magnetic moment (Bohr magnetons per cell): 0.0
DOS at the Fermi energy (states/eV/atom): 1.134

POSCAR file:
```
Y2OsRu
1.0
-2.0359 0.9081 8.3978
0.9488 -0.5925 8.6163
0.7692 2.7262 8.2139
Ru Os Y
1 1 2
direct
0.7500 0.7500 0.7500 Ru
0.2500 0.2500 0.2500 Os
0.0009 0.0009 0.0009 Y
0.4991 0.4991 0.4991 Y
```

=====

[4]
Material: YOsRu
Method: DFT, PBE
State: relaxed

Properties
Relative energy among the computed polymorphs (meV/atom): 118.1
SG: C2/m, No. 12
DFT formation energy (eV per atom): -0.16
Magnetic moment (Bohr magnetons per cell): 0.0
DOS at the Fermi energy (states/eV/atom): 0.975

POSCAR file:
```
YOsRu
1.0
4.4236 0.0000 0.0000
2.2118 5.1200 -0.4660
2.2118 0.7849 5.0017
Os Y Ru
2 2 2
direct
0.6566 0.4188 0.2681 Os
0.3434 0.5812 0.7319 Os
0.9372 0.8150 0.3107 Y
0.0628 0.1850 0.6893 Y
0.3320 0.2382 0.0977 Ru
0.6680 0.7618 0.9023 Ru
```